No. 1
Compound: PrZnAu
Source: the Alexandria database
Functional: PBE
Structure: optimized geometry

```
data_PrZnAu
_chemical_formula_sum 'Pr1 Zn1 Au1'
_symmetry_space_group_name_H-M 'P 1'
_symmetry_Int_Tables_number 1
_symmetry_space_group_name_Hall 'P 1'
_cell_length_a 3.6805
_cell_length_b 3.6805
_cell_length_c 5.6644
_cell_angle_alpha 108.96
_cell_angle_beta 108.96
_cell_angle_gamma 90.00
loop_
_atom_site_label
_atom_site_fract_x
_atom_site_fract_y
_atom_site_fract_z
Zn1 0.2623 0.2623 0.5246
Pr1 0.9497 0.9497 0.8994
Au1 0.6380 0.6380 0.2760
```

Properties
Its space group is I4mm, No. 107. The formation energy from the elements is -0.47 eV per atom.

---

No. 2
Compound: Mn6VGa3
Source: the Alexandria database
Functional: PBE
Structure: optimized geometry

```
data_Mn6VGa3
_chemical_formula_sum 'Mn12 V2 Ga6'
_symmetry_space_group_name_H-M 'P 1'
_symmetry_Int_Tables_number 1
_symmetry_space_group_name_Hall 'P 1'
_cell_length_a 4.2439
_cell_length_b 7.0239
_cell_length_c 8.9817
_cell_angle_alpha 109.14
_cell_angle_beta 90.00
_cell_angle_gamma 90.00
loop_
_atom_site_label
_atom_site_fract_x
_atom_site_fract_y
_atom_site_fract_z
Mn1 0.7500 0.5445 0.9132
Ga1 0.7500 0.2311 0.0072
Ga2 0.2500 0.3500 0.7885
Mn2 0.2500 0.6626 0.6940
Ga3 0.2500 0.7689 0.9928
Mn3 0.2500 0.1552 0.1952
Mn4 0.2500 0.4555 0.0868
Mn5 0.2500 0.0519 0.8868
V1 0.2500 0.9471 0.5986
Mn6 0.7500 0.7553 0.5099
V2 0.7500 0.0529 0.4014
Mn7 0.7500 0.9481 0.1132
Mn8 0.7500 0.1402 0.7010
Mn9 0.7500 0.3374 0.3060
Ga4 0.7500 0.6500 0.2115
Mn10 0.2500 0.8598 0.2990
Mn11 0.2500 0.2447 0.4901
Ga5 0.2500 0.5460 0.3895
Mn12 0.7500 0.8448 0.8048
Ga6 0.7500 0.4540 0.6105
```

Properties
Its space group is P2_1/m, No. 11. The formation energy from the elements is -0.08 eV per atom.

---

No. 3
Compound: KAg4Pd2
Source: the Alexandria database
Functional: PBE
Structure: optimized geometry

```
data_KAg4Pd2
_chemical_formula_sum 'K1 Ag4 Pd2'
_symmetry_space_group_name_H-M 'P 1'
_symmetry_Int_Tables_number 1
_symmetry_space_group_name_Hall 'P 1'
_cell_length_a 5.4955
_cell_length_b 5.7445
_cell_length_c 5.7445
_cell_angle_alpha 76.50
_cell_angle_beta 60.96
_cell_angle_gamma 60.96
loop_
_atom_site_label
_atom_site_fract_x
_atom_site_fract_y
_atom_site_fract_z
Ag1 0.3012 0.0002 0.3983
Ag2 0.6988 0.9998 0.6017
Pd1 0.7497 0.5001 0.5001
Pd2 0.2503 0.4999 0.4999
K1 0.0000 0.0000 0.0000
Ag3 0.3012 0.3983 0.0002
Ag4 0.6988 0.6017 0.9998
```

Properties
Its space group is C2/m, No. 12. The formation energy from the elements is 0.01 eV per atom.

---

No. 4
Compound: Na6AgHg2
Source: the Alexandria database
Functional: PBE
Structure: optimized geometry

```
data_Na6AgHg2
_chemical_formula_sum 'Na6 Ag1 Hg2'
_symmetry_space_group_name_H-M 'P 1'
_symmetry_Int_Tables_number 1
_symmetry_space_group_name_Hall 'P 1'
_cell_length_a 5.0899
_cell_length_b 7.3884
_cell_length_c 8.9148
_cell_angle_alpha 114.48
_cell_angle_beta 106.32
_cell_angle_gamma 90.00
loop_
_atom_site_label
_atom_site_fract_x
_atom_site_fract_y
_atom_site_fract_z
Na1 0.5000 0.2415 0.0000
Hg1 0.3349 0.3345 0.6689
Na2 0.8365 0.0796 0.6727
Na3 0.5000 0.7585 0.0000
Na4 0.8365 0.5931 0.6727
Na5 0.1635 0.4069 0.3273
Hg2 0.6651 0.6655 0.3311
Na6 0.1635 0.9204 0.3273
Ag1 0.0000 0.0000 0.0000
```

Properties
Its space group is C2/m, No. 12. The value obtained for the energy above the most stable polymorph in this dataset is 68 meV/atom. The formation energy from the elements is -0.06 eV per atom.

---

No. 5
Compound: PmNd5Pb6
Source: the Alexandria database
Functional: PBE
Structure: optimized geometry

```
data_PmNd5Pb6
_chemical_formula_sum 'Pm1 Nd5 Pb6'
_symmetry_space_group_name_H-M 'P 1'
_symmetry_Int_Tables_number 1
_symmetry_space_group_name_Hall 'P 1'
_cell_length_a 7.9910
_cell_length_b 7.9065
_cell_length_c 7.8799
_cell_angle_alpha 59.89
_cell_angle_beta 80.59
_cell_angle_gamma 70.98
loop_
_atom_site_label
_atom_site_fract_x
_atom_site_fract_y
_atom_site_fract_z
Nd1 0.5000 0.5000 0.0000
Nd2 0.0000 0.3334 0.3331
Nd3 0.5000 0.1674 0.6652
Pb1 0.7510 0.4149 0.6680
Pm1 0.0000 0.0000 0.0000
Pb2 0.7510 0.0829 0.3320
Pb3 0.2490 0.9171 0.6680
Pb4 0.7501 0.7514 0.0000
Pb5 0.2490 0.5851 0.3320
Nd4 0.0000 0.6666 0.6669
Pb6 0.2499 0.2486 0.0000
Nd5 0.5000 0.8326 0.3348
```

Properties
Its space group is C2/m, No. 12. The value obtained for the energy above the most stable polymorph in this dataset is 104 meV/atom. The formation energy from the elements is -0.42 eV per atom.

---

No. 6
Compound: Tm2HgBi
Source: the Alexandria database
Functional: PBE
Structure: optimized geometry

```
data_Tm2HgBi
_chemical_formula_sum 'Tm2 Hg1 Bi1'
_symmetry_space_group_name_H-M 'P 1'
_symmetry_Int_Tables_number 1
_symmetry_space_group_name_Hall 'P 1'
_cell_length_a 4.2370
_cell_length_b 4.2370
_cell_length_c 8.0474
_cell_angle_alpha 74.74
_cell_angle_beta 74.74
_cell_angle_gamma 60.00
loop_
_atom_site_label
_atom_site_fract_x
_atom_site_fract_y
_atom_site_fract_z
Tm1 0.2510 0.2510 0.2470
Hg1 0.4989 0.4989 0.5032
Tm2 0.0827 0.0827 0.7519
Bi1 0.6674 0.6674 0.9979
```

Properties
Its space group is R3m, No. 160. The value obtained for the energy above the most stable polymorph in this dataset is 72 meV/atom. The formation energy from the elements is -0.42 eV per atom.

---

No. 7
Compound: GeBi2F
Source: the Alexandria database
Functional: PBE
Structure: optimized geometry

```
data_GeBi2F
_chemical_formula_sum 'Ge1 Bi2 F1'
_symmetry_space_group_name_H-M 'P 1'
_symmetry_Int_Tables_number 1
_symmetry_space_group_name_Hall 'P 1'
_cell_length_a 4.9995
_cell_length_b 4.9995
_cell_length_c 4.9995
_cell_angle_alpha 60.00
_cell_angle_beta 60.00
_cell_angle_gamma 60.00
loop_
_atom_site_label
_atom_site_fract_x
_atom_site_fract_y
_atom_site_fract_z
Bi1 0.2500 0.2500 0.2500
Bi2 0.7500 0.7500 0.7500
F1 0.0000 0.0000 0.0000
Ge1 0.5000 0.5000 0.5000
```

Properties
As for the uncorrected formation energy: -0.493 eV per atom. Its space group is Fm-3m, No. 225. The value obtained for the energy above the most stable polymorph in this dataset is 0 meV/atom.

---

No. 8
Compound: TeHS2
Source: the Alexandria database
Functional: PBE
Structure: optimized geometry

```
data_TeHS2
_chemical_formula_sum 'Te2 H2 S4'
_symmetry_space_group_name_H-M 'P 1'
_symmetry_Int_Tables_number 1
_symmetry_space_group_name_Hall 'P 1'
_cell_length_a 3.9612
_cell_length_b 8.8021
_cell_length_c 7.6298
_cell_angle_alpha 125.98
_cell_angle_beta 80.38
_cell_angle_gamma 86.62
loop_
_atom_site_label
_atom_site_fract_x
_atom_site_fract_y
_atom_site_fract_z
S1 0.3390 0.4007 0.9821
Te1 0.4602 0.7300 0.6930
H1 0.5577 0.0166 0.3165
S2 0.5636 0.9208 0.4057
Te2 0.0422 0.1811 0.7206
H2 0.2024 0.4184 0.3061
S3 0.1374 0.4586 0.5140
S4 0.9546 0.0036 0.8849
```

Properties
Its space group is P1, No. 1. The value obtained for the energy above the most stable polymorph in this dataset is 0 meV/atom.

---

No. 9
Compound: NaCI2N
Source: the Alexandria database
Functional: PBE
Structure: optimized geometry

```
data_NaCI2N
_chemical_formula_sum 'Na1 C1 I2 N1'
_symmetry_space_group_name_H-M 'P 1'
_symmetry_Int_Tables_number 1
_symmetry_space_group_name_Hall 'P 1'
_cell_length_a 5.8950
_cell_length_b 5.8950
_cell_length_c 4.5985
_cell_angle_alpha 90.00
_cell_angle_beta 90.00
_cell_angle_gamma 90.00
loop_
_atom_site_label
_atom_site_fract_x
_atom_site_fract_y
_atom_site_fract_z
C1 0.5000 0.5000 0.5000
I1 0.0000 0.5000 0.0000
N1 0.0000 0.0000 0.5000
I2 0.5000 0.0000 0.0000
Na1 0.0000 0.0000 0.0000
```

Properties
As for the uncorrected formation energy: 2.160 eV per atom. Its space group is P4/mmm, No. 123. The value obtained for the energy above the most stable polymorph in this dataset is 1440 meV/atom.

---

No. 10
Compound: TcRhBr2
Source: the Alexandria database
Functional: PBE
Structure: optimized geometry

```
data_TcRhBr2
_chemical_formula_sum 'Tc1 Rh1 Br2'
_symmetry_space_group_name_H-M 'P 1'
_symmetry_Int_Tables_number 1
_symmetry_space_group_name_Hall 'P 1'
_cell_length_a 3.7894
_cell_length_b 3.7894
_cell_length_c 8.1995
_cell_angle_alpha 77.12
_cell_angle_beta 77.12
_cell_angle_gamma 60.01
loop_
_atom_site_label
_atom_site_fract_x
_atom_site_fract_y
_atom_site_fract_z
Br1 0.0367 0.0367 0.9002
Tc1 0.7698 0.7698 0.6931
Br2 0.2119 0.2119 0.3548
Rh1 0.4817 0.4817 0.5520
```

Properties
As for the uncorrected formation energy: 0.120 eV per atom. Its space group is Cm, No. 8. The value obtained for the energy above the most stable polymorph in this dataset is 0 meV/atom.

---

No. 11
Compound: TbGa12Ir4
Source: the Alexandria database
Functional: PBE
Structure: optimized geometry

```
data_TbGa12Ir4
_chemical_formula_sum 'Tb1 Ga12 Ir4'
_symmetry_space_group_name_H-M 'P 1'
_symmetry_Int_Tables_number 1
_symmetry_space_group_name_Hall 'P 1'
_cell_length_a 7.6390
_cell_length_b 7.6390
_cell_length_c 7.6390
_cell_angle_alpha 109.47
_cell_angle_beta 109.47
_cell_angle_gamma 109.47
loop_
_atom_site_label
_atom_site_fract_x
_atom_site_fract_y
_atom_site_fract_z
Ga1 0.4965 0.1592 0.3373
Ga2 0.6627 0.5035 0.8408
Tb1 0.0000 0.0000 0.0000
Ir1 0.5000 0.5000 0.5000
Ga3 0.8408 0.3373 0.1780
Ga4 0.1780 0.8408 0.3373
Ga5 0.8408 0.6627 0.5035
Ga6 0.8220 0.1592 0.6627
Ga7 0.1592 0.6627 0.8220
Ir2 0.0000 0.0000 0.5000
Ga8 0.3373 0.4965 0.1592
Ir3 0.0000 0.5000 0.0000
Ga9 0.6627 0.8220 0.1592
Ga10 0.1592 0.3373 0.4965
Ga11 0.5035 0.8408 0.6627
Ga12 0.3373 0.1780 0.8408
Ir4 0.5000 0.0000 0.0000
```

Properties
Its space group is Im-3, No. 204. The formation energy from the elements is -0.17 eV per atom.

---

No. 12
Compound: Er2ZrTl2Se6
Source: the Alexandria database
Functional: PBE
Structure: optimized geometry

```
data_Er2ZrTl2Se6
_chemical_formula_sum 'Er2 Zr1 Tl2 Se6'
_symmetry_space_group_name_H-M 'P 1'
_symmetry_Int_Tables_number 1
_symmetry_space_group_name_Hall 'P 1'
_cell_length_a 6.9826
_cell_length_b 6.9826
_cell_length_c 8.2076
_cell_angle_alpha 98.37
_cell_angle_beta 98.37
_cell_angle_gamma 119.86
loop_
_atom_site_label
_atom_site_fract_x
_atom_site_fract_y
_atom_site_fract_z
Se1 0.9305 0.6109 0.2999
Er1 0.3324 0.6676 0.5000
Zr1 0.0000 0.0000 0.5000
Tl1 0.8311 0.1689 0.0000
Se2 0.0695 0.3891 0.7001
Se3 0.2521 0.2521 0.2996
Se4 0.7479 0.7479 0.7004
Se5 0.3891 0.0695 0.7001
Er2 0.6676 0.3324 0.5000
Se6 0.6109 0.9305 0.2999
Tl2 0.1689 0.8311 0.0000
```

Properties
As for the uncorrected formation energy: -1.369 eV per atom. Its space group is C2/m, No. 12.